Entry 1:
Entry from Alexandria: Tl2SbPb after structural relaxation (PBEsol).

As for the total moment: 0.0 μB/f.u. The calculation puts the formation energy without anion corrections at 34 meV per atom. For the density of states at the Fermi level, the calculation gives 7.6 states/eV per cell.

The space group is F-43m (No. 216) and the conventional cell measures 7.6972, 7.6972 and 7.6972 Å, with angles of 90.00, 90.00 and 90.00 degrees. The asymmetric unit holds Tl at (0.0000, 0.0000, 0.0000), Tl at (0.2500, 0.2500, 0.2500), Sb at (0.0000, 0.0000, 0.5000) and Pb at (0.2500, 0.2500, 0.7500).

---

Entry 2:
Entry from Alexandria: TlNi2Rh after structural relaxation (PBEsol).

As for the total moment: 0.6 μB/f.u. For the density of states at the Fermi level, the calculation gives 12.6 states/eV per cell. As for the energy of formation from the pure elements: 0.19 eV/atom.

The space group is I4/mmm (No. 139) and the conventional cell measures 3.9091, 3.9091 and 7.1931 Å, with angles of 90.00, 90.00 and 90.00 degrees. The asymmetric unit holds Tl at (0.0000, 0.0000, 0.0000), Ni at (0.0000, 0.5000, 0.2500) and Rh at (0.0000, 0.0000, 0.5000).

---

Entry 3:
Entry from Alexandria: CsTaP2H after structural relaxation (PBEsol).

Its total energy is -12.41 eV for the cell shown. As for the total moment: 2.5 μB/f.u. For the density of states at the Fermi level, the calculation gives 6.6 states/eV per cell.

The space group is P4/mmm (No. 123) and the conventional cell measures 5.5012, 5.5012 and 5.5448 Å, with angles of 90.00, 90.00 and 90.00 degrees. The asymmetric unit holds Cs at (0.0000, 0.0000, 0.0000), Ta at (0.0000, 0.0000, 0.5000), P at (0.0000, 0.5000, 0.0000) and H at (0.5000, 0.5000, 0.5000).

---

Entry 4:
Entry from Alexandria: Ta3Pt2 after structural relaxation (PBEsol).

As for the total moment: 0.0 μB/f.u. For the density of states at the Fermi level, the calculation gives 22.7 states/eV per cell. As for the energy of formation from the pure elements: -0.48 eV/atom.

The space group is P4_2/mnm (No. 136) and the conventional cell measures 9.8566, 9.8566 and 5.0999 Å, with angles of 90.00, 90.00 and 90.00 degrees. The asymmetric unit holds Ta at (0.0000, 0.0000, 0.0000), Ta at (0.0386, 0.3644, 0.5000), Ta at (0.1848, 0.8152, 0.2507), Pt at (0.0684, 0.2636, 0.0000) and Pt at (0.0999, 0.0999, 0.5000).

---

Entry 5:
Entry from Alexandria: ZrSnS2Cl after structural relaxation (PBEsol).

As for the total moment: 2.0 μB/f.u. The calculation puts the formation energy without anion corrections at 147 meV per atom. For the density of states at the Fermi level, the calculation gives 5.7 states/eV per cell.

The space group is P4/mmm (No. 123) and the conventional cell measures 4.9533, 4.9533 and 4.9102 Å, with angles of 90.00, 90.00 and 90.00 degrees. The asymmetric unit holds Zr at (0.0000, 0.0000, 0.0000), Sn at (0.5000, 0.5000, 0.5000), S at (0.0000, 0.5000, 0.5000) and Cl at (0.5000, 0.5000, 0.0000).

---

Entry 6:
Entry from Alexandria: FeHgBPb2 after structural relaxation (PBEsol).

As for the total moment: 1.8 μB/f.u. For the density of states at the Fermi level, the calculation gives 3.9 states/eV per cell. As for the energy of formation from the pure elements: 1.22 eV/atom.

The space group is P4/mmm (No. 123) and the conventional cell measures 4.9402, 4.9402 and 4.9701 Å, with angles of 90.00, 90.00 and 90.00 degrees. The asymmetric unit holds Fe at (0.0000, 0.0000, 0.0000), Hg at (0.0000, 0.0000, 0.5000), B at (0.5000, 0.5000, 0.5000) and Pb at (0.0000, 0.5000, 0.0000).

---

Entry 7:
Entry from Alexandria: LiMgCu2 after structural relaxation (PBEsol).

As for the total moment: 0.0 μB/f.u. For the density of states at the Fermi level, the calculation gives 1.6 states/eV per cell. As for the energy of formation from the pure elements: 0.01 eV/atom.

The space group is P4mm (No. 99) and the conventional cell measures 3.0353, 3.0353 and 6.1674 Å, with angles of 90.00, 90.00 and 90.00 degrees. The asymmetric unit holds Li at (0.0000, 0.0000, 0.0000), Mg at (0.5000, 0.5000, 0.3207), Cu at (0.0000, 0.0000, 0.5799) and Cu at (0.5000, 0.5000, 0.7775).

---

Entry 8:
Entry from Alexandria: BeBiAu2 after structural relaxation (PBEsol).

As for the total moment: 0.0 μB/f.u. For the density of states at the Fermi level, the calculation gives 6.9 states/eV per cell. As for the energy of formation from the pure elements: 0.21 eV/atom.

The space group is I-42d (No. 122) and the conventional cell measures 4.8138, 4.8138 and 14.8719 Å, with angles of 90.00, 90.00 and 90.00 degrees. The asymmetric unit holds Be at (0.0000, 0.0000, 0.0000), Bi at (0.0000, 0.0000, 0.5000) and Au at (0.1398, 0.2500, 0.1250).

---

Entry 9:
Entry from Alexandria: KRhPb2 after structural relaxation (PBEsol).

As for the total moment: 0.0 μB/f.u. For the density of states at the Fermi level, the calculation gives 7.4 states/eV per cell. As for the energy of formation from the pure elements: 0.41 eV/atom.

The space group is I-4m2 (No. 119) and the conventional cell measures 4.5846, 4.5846 and 9.1376 Å, with angles of 90.00, 90.00 and 90.00 degrees. The asymmetric unit holds K at (0.0000, 0.0000, 0.0000), Rh at (0.0000, 0.5000, 0.7500), Pb at (0.0000, 0.0000, 0.5000) and Pb at (0.0000, 0.5000, 0.2500).

---

Entry 10:
Entry from Alexandria: SrTcHg2 after structural relaxation (PBEsol).

As for the total moment: 1.2 μB/f.u. For the density of states at the Fermi level, the calculation gives 11.2 states/eV per cell. As for the energy of formation from the pure elements: 0.61 eV/atom.

The space group is R3m (No. 160, hexagonal axes) and the conventional cell measures 3.2822, 3.2822 and 28.7682 Å, with angles of 90.00, 90.00 and 120.00 degrees. The asymmetric unit holds Sr at (0.0000, 0.0000, 0.0000), Tc at (0.0000, 0.0000, 0.2502), Hg at (0.0000, 0.0000, 0.5112) and Hg at (0.0000, 0.0000, 0.7609).

---

Entry 11:
Entry from Alexandria: ScTl2Os after structural relaxation (PBEsol).

As for the total moment: 0.0 μB/f.u. For the density of states at the Fermi level, the calculation gives 3.2 states/eV per cell. As for the energy of formation from the pure elements: 0.32 eV/atom.

The space group is P4/mmm (No. 123) and the conventional cell measures 4.1909, 4.1909 and 4.4094 Å, with angles of 90.00, 90.00 and 90.00 degrees. The asymmetric unit holds Sc at (0.0000, 0.0000, 0.0000), Tl at (0.0000, 0.5000, 0.5000) and Os at (0.5000, 0.5000, 0.0000).

---

Entry 12:
Entry from Alexandria: Sc4HgW after structural relaxation (PBEsol).

As for the total moment: 0.0 μB/f.u. For the density of states at the Fermi level, the calculation gives 13.8 states/eV per cell. As for the energy of formation from the pure elements: 0.49 eV/atom.

The space group is F-43m (No. 216) and the conventional cell measures 7.7597, 7.7597 and 7.7597 Å, with angles of 90.00, 90.00 and 90.00 degrees. The asymmetric unit holds Sc at (0.1238, 0.1238, 0.3762), Hg at (0.0000, 0.0000, 0.0000) and W at (0.2500, 0.2500, 0.7500).

---

Entry 13:
Entry from Alexandria: LaTaSiI2 after structural relaxation (PBEsol).

As for the total moment: 2.9 μB/f.u. The calculation puts the formation energy without anion corrections at 1265 meV per atom. For the density of states at the Fermi level, the calculation gives 8.3 states/eV per cell.

The space group is P4/mmm (No. 123) and the conventional cell measures 5.9621, 5.9621 and 5.6649 Å, with angles of 90.00, 90.00 and 90.00 degrees. The asymmetric unit holds La at (0.0000, 0.0000, 0.0000), Ta at (0.5000, 0.5000, 0.5000), Si at (0.0000, 0.0000, 0.5000) and I at (0.0000, 0.5000, 0.0000).

---

Entry 14:
Entry from Alexandria: Pr9Sb5O5 after structural relaxation (PBEsol).

As for the total moment: 0.0 μB/f.u. The calculation puts the formation energy without anion corrections at -2133 meV per atom. For the density of states at the Fermi level, the calculation gives 9.7 states/eV per cell.

The space group is P4/n (No. 85, origin choice 2) and the conventional cell measures 10.2020, 10.2020 and 9.1850 Å, with angles of 90.00, 90.00 and 90.00 degrees. The asymmetric unit holds Pr at (0.0239, 0.3313, 0.0014), Pr at (0.0460, 0.8534, 0.6545), Pr at (0.2500, 0.2500, 0.6676), Sb at (0.0530, 0.8470, 0.2988), Sb at (0.2500, 0.2500, 0.3127), O at (0.0254, 0.8714, 0.9092) and O at (0.2500, 0.2500, 0.9328).

---

Entry 15:
Entry from Alexandria: V3Rh5 after structural relaxation (PBEsol).

As for the total moment: 0.0 μB/f.u. For the density of states at the Fermi level, the calculation gives 16.4 states/eV per cell. As for the energy of formation from the pure elements: -0.38 eV/atom.

The space group is Amm2 (No. 38) and the conventional cell measures 4.2652, 5.3594 and 9.2093 Å, with angles of 90.00, 90.00 and 90.00 degrees. The asymmetric unit holds V at (0.0000, 0.0000, 0.0000), V at (0.0000, 0.0000, 0.4949), V at (0.5000, 0.0000, 0.6711), Rh at (0.0000, 0.2505, 0.2414), Rh at (0.5000, 0.0000, 0.1661) and Rh at (0.5000, 0.2501, 0.4206).

---

Entry 16:
Entry from Alexandria: Ca2Mg after structural relaxation (PBEsol).

As for the total moment: 0.0 μB/f.u. For the density of states at the Fermi level, the calculation gives 92.2 states/eV per cell. As for the energy of formation from the pure elements: -0.04 eV/atom.

The space group is Fd-3m (No. 227, origin choice 2) and the conventional cell measures 14.8829, 14.8829 and 14.8829 Å, with angles of 90.00, 90.00 and 90.00 degrees. The asymmetric unit holds Ca at (0.0000, 0.0000, 0.0000), Ca at (0.0654, 0.3750, 0.8750) and Mg at (0.0423, 0.0423, 0.2077).

---

Entry 17:
Entry from Alexandria: KSr2As after structural relaxation (PBEsol).

As for the total moment: 0.0 μB/f.u. For the density of states at the Fermi level, the calculation gives 2.5 states/eV per cell. As for the energy of formation from the pure elements: -0.53 eV/atom.

The space group is P4/mmm (No. 123) and the conventional cell measures 3.9380, 3.9380 and 10.8579 Å, with angles of 90.00, 90.00 and 90.00 degrees. The asymmetric unit holds K at (0.0000, 0.0000, 0.0000), Sr at (0.5000, 0.5000, 0.3521) and As at (0.0000, 0.0000, 0.5000).

---

Entry 18:
Entry from Alexandria: YNb3As after structural relaxation (PBEsol).

As for the total moment: 0.0 μB/f.u. For the density of states at the Fermi level, the calculation gives 6.9 states/eV per cell. As for the energy of formation from the pure elements: 2.05 eV/atom.

The space group is Pm-3m (No. 221) and the conventional cell measures 4.8494, 4.8494 and 4.8494 Å, with angles of 90.00, 90.00 and 90.00 degrees. The asymmetric unit holds Y at (0.0000, 0.0000, 0.0000), Nb at (0.0000, 0.0000, 0.5000) and As at (0.5000, 0.5000, 0.5000).

---

Entry 19:
Entry from Alexandria: InReTe after structural relaxation (PBEsol).

As for the total moment: 0.0 μB/f.u. The calculation puts the formation energy without anion corrections at 424 meV per atom. For the density of states at the Fermi level, the calculation gives 1.6 states/eV per cell.

The space group is P3m1 (No. 156) and the conventional cell measures 3.3357, 3.3357 and 6.4628 Å, with angles of 90.00, 90.00 and 120.00 degrees. The asymmetric unit holds In at (0.0000, 0.0000, 0.0000), Re at (0.3333, 0.6667, 0.6838) and Te at (0.6667, 0.3333, 0.4059).

---

Entry 20:
Entry from Alexandria: Mg2Ir after structural relaxation (PBEsol).

As for the total moment: 0.0 μB/f.u. For the density of states at the Fermi level, the calculation gives 1.8 states/eV per cell. As for the energy of formation from the pure elements: -0.21 eV/atom.

The space group is P-3m1 (No. 164) and the conventional cell measures 4.3755, 4.3755 and 2.8881 Å, with angles of 90.00, 90.00 and 120.00 degrees. The asymmetric unit holds Mg at (0.3333, 0.6667, 0.1716) and Ir at (0.0000, 0.0000, 0.5000).